LaMn2Br after structural relaxation, computed with PBE-GGA.

Unit cell a=3.9833 b=3.9833 c=7.2813 alpha=83.92 beta=83.92 gamma=56.98
Last column: magnetic moment on the atom in μB.
Element x y z (fractional)
Br: 0.4321 0.4321 0.4896  0.00
Mn: 0.0063 0.0063 0.1503  3.00
Mn: 0.3479 0.3479 0.0619  -2.41
La: 0.7137 0.7137 0.7983  0.10

## Properties
N(E_F): 4.1 states/eV per cell
ΔE to the lowest computed polymorph: 0.0520 eV/atom
E_form (uncorrected): -0.097 eV per formula unit
Spin magnetization: 0.215 μB/atom